HfV2HgB | the Alexandria database | GGA-PBE | optimized geometry; ΔE_f = 1.6371 eV per atom
1.0
5.069 0.000 0.000
0.000 5.069 0.000
0.000 0.000 3.993
Hf V Hg B
1 2 1 1
direct
0.000 0.000 0.000
0.000 0.500 0.500
0.500 0.000 0.500
0.500 0.500 0.500
0.500 0.500 0.000